First-principles (PBE) data for crystalline Ce4Os2Pb3 at its relaxed geometry, as listed in Alexandria.

Cell lengths 7.5921, 8.8725, 8.8725 Å; angles 66.44, 73.11, 73.11 degrees
Positions (direct):
Ce 0.4287 0.8838 0.2869
Ce 0.0713 0.7131 0.1162
Ce 0.5713 0.1162 0.7131
Ce 0.9287 0.2869 0.8838
Ce 0.1061 0.2639 0.3390
Ce 0.3939 0.6610 0.7361
Ce 0.8939 0.7361 0.6610
Ce 0.6061 0.3390 0.2639
Os 0.3693 0.1192 0.5312
Os 0.1307 0.4688 0.8808
Os 0.6307 0.8808 0.4688
Os 0.8693 0.5312 0.1192
Pb 0.9577 0.0060 0.2631
Pb 0.5423 0.7369 0.9940
Pb 0.0423 0.9940 0.7369
Pb 0.4577 0.2631 0.0060
Pb 0.2500 0.4758 0.5242
Pb 0.7500 0.5242 0.4758

Results
The theoretical density is 10.101 g/cm3. The calculation puts the energy relative to the elements at -180 meV/atom.